{"formula": "MgH18I2O9", "functional": "meta-GGA SCAN", "state": "single point on PBEsol structure", "total_energy_ev_per_atom": -7.6744, "lattice": [[-3.7997, 4.4005, -2.9214], [-0.4572, -8.1941, -11.7480], [-10.8230, -3.3172, 9.0804]], "species": ["H", "H", "H", "O", "O", "H", "H", "H", "O", "H", "H", "O", "H", "H", "Mg", "H", "H", "O", "H", "H", "O", "I", "O", "H", "O", "H", "Mg", "O", "H", "H", "H", "H", "H", "H", "O", "H", "O", "H", "H", "O", "H", "H", "H", "O", "H", "O", "I", "O", "O", "H", "H", "O", "H", "H", "I", "H", "H", "H", "H", "H", "H", "H", "O", "I", "H", "H", "H", "I", "O", "H", "H", "H", "O", "H", "H", "H", "H", "H", "I", "O", "I", "Mg", "Mg", "H", "H", "H", "O", "O", "H", "O", "O", "H", "O", "I", "H", "O", "H", "H", "H", "H", "H", "H", "O", "H", "O", "O", "O", "H", "O", "H", "O", "H", "O", "H", "H", "O", "H", "H", "O", "H"], "fractional_positions": [[0.3056, 0.4505, 0.7164], [0.4501, 0.9189, 0.1101], [0.7882, 0.2013, 0.9655], [0.3040, 0.6863, 0.5986], [0.7608, 0.7907, 0.7133], [0.4350, 0.7066, 0.5741], [0.4807, 0.2294, 0.5304], [0.0862, 0.0413, 0.6758], [0.7392, 0.2907, 0.2133], [0.7827, 0.9465, 0.4648], [0.9807, 0.2706, 0.9696], [0.8040, 0.8137, 0.9014], [0.7735, 0.8814, 0.9500], [0.9448, 0.6695, 0.3501], [0.2355, 0.1251, 0.3750], [0.7649, 0.7171, 0.6808], [0.7173, 0.4465, 0.9648], [0.2840, 0.5618, 0.1506], [0.5552, 0.1695, 0.8501], [0.9501, 0.5811, 0.3899], [0.1181, 0.7475, 0.9869], [0.2356, 0.2839, 0.8488], [0.3531, 0.8742, 0.1283], [0.4138, 0.5413, 0.1758], [0.2160, 0.0618, 0.6506], [0.4011, 0.3210, 0.0105], [0.7355, 0.3749, 0.1250], [0.9036, 0.9983, 0.7394], [0.4985, 0.4832, 0.2853], [0.2579, 0.4667, 0.9299], [0.5193, 0.7706, 0.4696], [0.7579, 0.0333, 0.5701], [0.9350, 0.7934, 0.9259], [0.9138, 0.9587, 0.3242], [0.8819, 0.2525, 0.0131], [0.2351, 0.2829, 0.3192], [0.3819, 0.2475, 0.4869], [0.5499, 0.0811, 0.8899], [0.4293, 0.9280, 0.7374], [0.7840, 0.9382, 0.3494], [0.0193, 0.7294, 0.0304], [0.6085, 0.0190, 0.3398], [0.1085, 0.4810, 0.1602], [0.7282, 0.4599, 0.0378], [0.0015, 0.9832, 0.7853], [0.6960, 0.3137, 0.4014], [0.7356, 0.2161, 0.6512], [0.0451, 0.8184, 0.5733], [0.4823, 0.9311, 0.6747], [0.2827, 0.5535, 0.0352], [0.2421, 0.9667, 0.4299], [0.5451, 0.6816, 0.9267], [0.2140, 0.1952, 0.2145], [0.2649, 0.7829, 0.8192], [0.2665, 0.9667, 0.9000], [0.1335, 0.7677, 0.5878], [0.2265, 0.1186, 0.0500], [0.9985, 0.0168, 0.2147], [0.6944, 0.5495, 0.2836], [0.3665, 0.2677, 0.0878], [0.7563, 0.8698, 0.3016], [0.0707, 0.4280, 0.2374], [0.2718, 0.5401, 0.9622], [0.7335, 0.0333, 0.1000], [0.5989, 0.6790, 0.9895], [0.4448, 0.8305, 0.1499], [0.2118, 0.7987, 0.0345], [0.2335, 0.4667, 0.4000], [0.8531, 0.6258, 0.3717], [0.2173, 0.0535, 0.5352], [0.7860, 0.8048, 0.7855], [0.5862, 0.4587, 0.8242], [0.6181, 0.7525, 0.5131], [0.0499, 0.4189, 0.6101], [0.5650, 0.2934, 0.4259], [0.2563, 0.6302, 0.1984], [0.0989, 0.8210, 0.5105], [0.9011, 0.1790, 0.4895], [0.7665, 0.5333, 0.6000], [0.0964, 0.0017, 0.2606], [0.7644, 0.7161, 0.1512], [0.7645, 0.8749, 0.6250], [0.2645, 0.6251, 0.8750], [0.5015, 0.5168, 0.7147], [0.0650, 0.2066, 0.0741], [0.7351, 0.2171, 0.1808], [0.5964, 0.4983, 0.2394], [0.5177, 0.0689, 0.3253], [0.2860, 0.6952, 0.7145], [0.2392, 0.2093, 0.2867], [0.6469, 0.1258, 0.8717], [0.8665, 0.2323, 0.4122], [0.7160, 0.4382, 0.8494], [0.2644, 0.7839, 0.3488], [0.3915, 0.9810, 0.6602], [0.9549, 0.1816, 0.4267], [0.9293, 0.5720, 0.7626], [0.1944, 0.9505, 0.2164], [0.2735, 0.6186, 0.5500], [0.8056, 0.0495, 0.7836], [0.6335, 0.7323, 0.9122], [0.0552, 0.3305, 0.6499], [0.7718, 0.9599, 0.5378], [0.7421, 0.5333, 0.0701], [0.2608, 0.7093, 0.7867], [0.4549, 0.3184, 0.0733], [0.4036, 0.5017, 0.7606], [0.7437, 0.3698, 0.8016], [0.2282, 0.0401, 0.4622], [0.2882, 0.2987, 0.5345], [0.0177, 0.4311, 0.1747], [0.5707, 0.0720, 0.2626], [0.1960, 0.1863, 0.0986], [0.7140, 0.3048, 0.2855], [0.2437, 0.1302, 0.6984], [0.1469, 0.3742, 0.6283], [0.8915, 0.5190, 0.8398], [0.7118, 0.7013, 0.4655], [0.9823, 0.5689, 0.8253], [0.7265, 0.3814, 0.4500]]}